Tc2RhW: relaxed, GGA-PBE.

a = 9.1763 Å, b = 9.1763 Å, c = 9.1763 Å
α = 17.32°, β = 17.32°, γ = 17.32°
Closest atoms and distances in Å follow each position.
Positions (direct):
Rh: 0.7504 0.7504 0.7504  3 W 2.71, 6 Rh 2.76, 3 Tc 2.81
W: 0.4981 0.4981 0.4981  3 Rh 2.71, 6 W 2.76, 3 Tc 2.88
Tc: 0.9985 0.9985 0.9985  9 Tc 2.66-2.76, 3 Rh 2.81
Tc: 0.2531 0.2531 0.2531  9 Tc 2.66-2.76, 3 W 2.88

Calculated values
DFT total energy (eV/atom): -10.2321
Energy relative to the lowest polymorph listed for this composition (meV per atom): 86
SG: R3m
Calculated formation energy (kJ per mole of atoms): 3
Total magnetization (μB/f.u.): 0.0
DOS at the Fermi energy (states/eV/cell): 3.50

=====

Tc2RhW: relaxed, GGA-PBE.

a = 4.8015 Å, b = 4.8015 Å, c = 2.7418 Å
α = 90.00°, β = 90.00°, γ = 109.78°
Closest atoms and distances in Å follow each position.
Positions (direct):
Tc: 0.0000 0.0000 0.0000  4 Tc 2.74-2.76, 4 W 2.76, 4 Rh 2.76
Tc: 0.5000 0.5000 0.0000  4 Tc 2.74-2.76, 4 Rh 2.76, 4 W 2.76
W: 0.5000 0.0000 0.5000  2 W 2.74, 2 Rh 2.76, 8 Tc 2.76
Rh: 0.0000 0.5000 0.5000  2 Rh 2.74, 2 W 2.76, 8 Tc 2.76

Calculated values
DFT total energy (eV/atom): -10.2370
Energy relative to the lowest polymorph listed for this composition (meV per atom): 81
SG: Cmmm
Calculated formation energy (kJ per mole of atoms): 2
Total magnetization (μB/f.u.): 0.0
DOS at the Fermi energy (states/eV/cell): 3.37

=====

Tc2RhW: relaxed, GGA-PBE.

a = 4.7619 Å, b = 4.7619 Å, c = 4.8150 Å
α = 80.69°, β = 80.69°, γ = 33.58°
Closest atoms and distances in Å follow each position.
Positions (direct):
Rh: 0.2500 0.2500 0.2500  6 Tc 2.73-2.76, 2 Rh 2.75, 4 W 2.77
W: 0.7500 0.7500 0.7500  6 Tc 2.75-2.79, 2 W 2.75, 4 Rh 2.77
Tc: 0.5026 0.5026 0.4938  6 Tc 2.73-2.82, 3 Rh 2.73-2.76, 3 W 2.75-2.79
Tc: 0.9974 0.9974 0.0062  6 Tc 2.73-2.82, 3 Rh 2.73-2.76, 3 W 2.75-2.79

Calculated values
DFT total energy (eV/atom): -10.2374
Energy relative to the lowest polymorph listed for this composition (meV per atom): 80
SG: C2/m
Calculated formation energy (kJ per mole of atoms): 2
Total magnetization (μB/f.u.): 0.0
DOS at the Fermi energy (states/eV/cell): 3.89

=====

Tc3RhW: relaxed, GGA-PBE.

a = 4.5649 Å, b = 4.5649 Å, c = 4.5649 Å
α = 90.00°, β = 90.00°, γ = 90.00°
Closest atoms and distances in Å follow each position.
Positions (direct):
Tc: 0.5000 0.0000 0.0000  2 Rh 2.28
Tc: 0.0000 0.5000 0.0000  2 Rh 2.28
Tc: 0.0000 0.0000 0.5000  2 Rh 2.28
Rh: 0.0000 0.0000 0.0000  6 Tc 2.28
W: 0.5000 0.5000 0.5000  12 Tc 3.23

Calculated values
DFT total energy (eV/atom): -8.1427
Energy relative to the lowest polymorph listed for this composition (meV per atom): 251
SG: Pm-3m
Calculated formation energy (kJ per mole of atoms): 206
Total magnetization (μB/f.u.): 0.0
DOS at the Fermi energy (states/eV/cell): 10.97